A relaxed structure of K3NaV2F9, computed with PBE+U.

E in eV/atom: -5.250

a = 5.9665 Å, b = 5.9665 Å, c = 7.3157 Å
α = 90.00°, β = 90.00°, γ = 120.00°
Space group P-3m1 (No. 164)
Inequivalent atoms, fractional coordinates:
1 K 0.0000 0.0000 0.0000 x1
2 K 0.3333 0.6667 0.6444 x2
3 Na 0.0000 0.0000 0.5000 x1
4 V 0.3333 0.6667 0.1591 x2
5 F 0.0000 0.5000 0.0000 x3
6 F 0.1750 0.3499 0.3161 x6